## SrZn2Ga6 (GGA-PBE)

Data for a relaxed SrZn2Ga6 crystal.

a b c (Å): 3.4169 7.9198 7.9198
angles (deg): 120.00 90.00 90.00
Atoms (fractional coordinates):
Sr  0.0000  0.0000  0.0000
Zn  0.0000  0.3333  0.6667
Zn  0.0000  0.6667  0.3333
Ga  0.5000  0.3443  0.3443
Ga  0.5000  0.6557  0.6557
Ga  0.5000  0.0000  0.6557
Ga  0.5000  0.6557  0.0000
Ga  0.5000  0.3443  0.0000
Ga  0.5000  0.0000  0.3443

Summary:
* mass density: 5.697 g/cm3
* raw total energy: -2.51 eV per atom
* energy above the most stable polymorph in this dataset: 0.1598 eV/atom
* D(E_F): 0.478 states/eV per atom
* symmetry: P6/mmm (191)
* total magnetization: 0.00 μB/cell
* DFT formation energy: -0.02 eV/atom